This record from Alexandria via LeMat-Bulk describes a geometry-optimized MnZn2SF structure. The functional is PBE with a Hubbard U.

Size of the total moment in Bohr magnetons per cell: 3.84
Uncorrected energy in eV per atom: -3.15

abc: 5.1128 5.1128 4.3621
angles: 90.00 90.00 90.00
Last column: nearest neighbours and their distance in Å.
Element x y z (fractional)
1 Mn 0.0000 0.0000 0.0000  2 S 2.18
2 Zn 0.0000 0.5000 0.0000  2 Mn 2.56
3 Zn 0.5000 0.0000 0.0000  2 Mn 2.56
4 S 0.0000 0.0000 0.5000  2 Mn 2.18
5 F 0.5000 0.5000 0.5000  8 Zn 3.36, 4 S 3.62